This record from the Alexandria database describes an optimized crystal structure of Na3Mn2P2C2O14. The functional is GGA+U.

Volume, A^3/atom: 13.61
Total magnetization, μB per cell: 14.000
Crystal system: triclinic
Raw total energy, eV/cell: -319.11

The structure in CIF format:
```
data_Na3Mn2P2C2O14
_chemical_formula_sum 'Na6 Mn4 P4 C4 O28'
_cell_length_a 8.381
_cell_length_b 8.405
_cell_length_c 9.132
_cell_angle_alpha 91.51
_cell_angle_beta 90.75
_cell_angle_gamma 103.11
_symmetry_space_group_name_H-M 'P -1'
_symmetry_Int_Tables_number 2
loop_
_symmetry_equiv_pos_as_xyz
'x,y,z'
'-x,-y,-z'
loop_
_atom_site_label
_atom_site_fract_x
_atom_site_fract_y
_atom_site_fract_z
Na1 0.107 0.166 0.245
Na2 0.371 0.375 0.769
Na3 0.381 0.872 0.236
Mn1 0.016 0.267 0.642
Mn2 0.485 0.232 0.344
P1 0.235 0.997 0.567
P2 0.265 0.524 0.426
C1 0.010 0.778 0.095
C2 0.487 0.740 0.920
O1 0.025 0.804 0.963
O2 0.082 0.852 0.539
O3 0.095 0.343 0.847
O4 0.102 0.871 0.199
O5 0.146 0.603 0.336
O6 0.181 0.135 0.659
O7 0.186 0.447 0.569
O8 0.297 0.062 0.416
O9 0.317 0.399 0.324
O10 0.369 0.949 0.659
O11 0.391 0.646 0.823
O12 0.402 0.146 0.144
O13 0.419 0.663 0.470
O14 0.478 0.725 0.056
```